--- 1 ---
An optimized crystal structure of TcAs2Au. Source: Alexandria, functional PBE-GGA.

Properties
Calculated density, g/cm3: 9.7
Volume, A^3/atom: 19.00
DOS at the Fermi energy, states/eV/cell: 10.321

a b c (Å): 3.0059 3.0059 29.1400
angles (deg): 90.00 90.00 120.00
Space group R3m (No. 160, hexagonal axes)
Symmetry-distinct sites (fractional):
Tc  0.0000  0.0000  0.0000 (multiplicity 3)
As  0.0000  0.0000  0.5124 (multiplicity 3)
As  0.0000  0.0000  0.7281 (multiplicity 3)
Au  0.0000  0.0000  0.2541 (multiplicity 3)


--- 2 ---
An optimized crystal structure of TcAs2Au. Source: Alexandria, functional PBE-GGA.

Properties
Calculated density, g/cm3: 10.3
Volume, A^3/atom: 17.94
DOS at the Fermi energy, states/eV/cell: 2.045

a b c (Å): 2.657 4.535 5.956
angles (deg): 90.00 90.21 90.00
Space group P2/m (No. 10)
Symmetry-distinct sites (fractional):
Tc  0.000  0.000  0.000 (multiplicity 1)
As  0.004  0.500  0.772 (multiplicity 2)
Au  0.000  0.000  0.500 (multiplicity 1)


--- 3 ---
An optimized crystal structure of TcAs2Au. Source: Alexandria, functional PBE-GGA.

Properties
Calculated density, g/cm3: 10.5
Volume, A^3/atom: 17.62
DOS at the Fermi energy, states/eV/cell: 2.753

a b c (Å): 9.809 3.234 4.546
angles (deg): 90.00 102.16 90.00
Space group Cm (No. 8)
Symmetry-distinct sites (fractional):
Tc  0.000  0.000  0.000 (multiplicity 2)
As  0.206  0.500  0.151 (multiplicity 2)
As  0.471  0.000  0.567 (multiplicity 2)
Au  0.226  0.000  0.669 (multiplicity 2)


--- 4 ---
An optimized crystal structure of TcAs2Au. Source: Alexandria, functional PBE-GGA.

Properties
Calculated density, g/cm3: 9.7
Volume, A^3/atom: 19.09
DOS at the Fermi energy, states/eV/cell: 5.311

a b c (Å): 2.970 4.882 10.533
angles (deg): 90.00 90.00 90.00
Space group Cmmm (No. 65)
Symmetry-distinct sites (fractional):
Tc  0.000  0.000  0.000 (multiplicity 2)
As  0.000  0.500  0.197 (multiplicity 4)
Au  0.000  0.000  0.500 (multiplicity 2)


The data favor 3; the next most stable structure lies 4.3 kJ/mol of atoms above it.


--- 1 ---
An optimized crystal structure of TcAs2Au. Source: Alexandria, functional PBE-GGA.

Properties
Calculated density, g/cm3: 10.4
Volume, A^3/atom: 17.69
DOS at the Fermi energy, states/eV/cell: 2.426

a b c (Å): 3.585 3.585 5.505
angles (deg): 90.00 90.00 90.00
Space group P4mm (No. 99)
Symmetry-distinct sites (fractional):
Tc  0.000  0.000  0.000 (multiplicity 1)
As  0.000  0.000  0.544 (multiplicity 1)
As  0.500  0.500  0.157 (multiplicity 1)
Au  0.500  0.500  0.683 (multiplicity 1)


--- 2 ---
An optimized crystal structure of TcAs2Au. Source: Alexandria, functional PBE-GGA.

Properties
Calculated density, g/cm3: 10.7
Volume, A^3/atom: 17.27
DOS at the Fermi energy, states/eV/cell: 3.536

a b c (Å): 3.271 4.191 5.038
angles (deg): 90.00 90.00 90.00
Space group Pmmm (No. 47)
Symmetry-distinct sites (fractional):
Tc  0.000  0.000  0.000 (multiplicity 1)
As  0.000  0.500  0.500 (multiplicity 1)
As  0.500  0.500  0.000 (multiplicity 1)
Au  0.500  0.000  0.500 (multiplicity 1)


The data favor 1; the next most stable structure lies 27.6 kJ/mol of atoms above it.


--- 1 ---
An optimized crystal structure of TcAs2Au. Source: Alexandria, functional PBE-GGA.

Properties
Calculated density, g/cm3: 10.9
Volume, A^3/atom: 16.95
DOS at the Fermi energy, states/eV/cell: 6.624

a b c (Å): 3.844 3.844 9.176
angles (deg): 90.00 90.00 90.00
Space group I-4m2 (No. 119)
Symmetry-distinct sites (fractional):
Tc  0.000  0.000  0.000 (multiplicity 2)
As  0.000  0.000  0.500 (multiplicity 2)
As  0.000  0.500  0.750 (multiplicity 2)
Au  0.000  0.500  0.250 (multiplicity 2)


--- 2 ---
An optimized crystal structure of TcAs2Au. Source: Alexandria, functional PBE-GGA.

Properties
Calculated density, g/cm3: 10.5
Volume, A^3/atom: 17.55
DOS at the Fermi energy, states/eV/cell: 1.567

a b c (Å): 3.069 3.069 7.455
angles (deg): 90.00 90.00 90.00
Space group P4/mmm (No. 123)
Symmetry-distinct sites (fractional):
Tc  0.000  0.000  0.000 (multiplicity 1)
As  0.500  0.500  0.201 (multiplicity 2)
Au  0.000  0.000  0.500 (multiplicity 1)


The data favor 2; the next most stable structure lies 31.4 kJ/mol of atoms above it.


--- 1 ---
An optimized crystal structure of TcAsAu. Source: Alexandria, functional PBE-GGA.

Properties
Calculated density, g/cm3: 12.0
Volume, A^3/atom: 17.12
DOS at the Fermi energy, states/eV/cell: 2.056

a b c (Å): 4.1688 4.1688 3.4129
angles (deg): 90.00 90.00 120.00
Space group P3m1 (No. 156)
Symmetry-distinct sites (fractional):
Tc  0.0000  0.0000  0.0000 (multiplicity 1)
As  0.6667  0.3333  0.9511 (multiplicity 1)
Au  0.3333  0.6667  0.4879 (multiplicity 1)


--- 2 ---
An optimized crystal structure of TcAsAu. Source: Alexandria, functional PBE-GGA.

Properties
Calculated density, g/cm3: 11.2
Volume, A^3/atom: 18.34
DOS at the Fermi energy, states/eV/cell: 8.517

a b c (Å): 3.095 4.793 14.837
angles (deg): 90.00 90.00 90.00
Space group Fmm2 (No. 42)
Symmetry-distinct sites (fractional):
Tc  0.000  0.000  0.000 (multiplicity 4)
As  0.000  0.000  0.627 (multiplicity 4)
Au  0.000  0.000  0.337 (multiplicity 4)


The data favor 1; the next most stable structure lies 10.3 kJ/mol of atoms above it.